## LiMoRh (GGA-PBE)

Data for a relaxed LiMoRh crystal.

a b c (Å): 4.530 4.530 4.530
angles (deg): 145.31 126.71 65.17
Fractional positions:
Mo 0.334 0.334 0.000
Li 0.003 0.003 0.000
Rh 0.662 0.662 0.000

ΔE to the lowest computed polymorph: 0.0 meV per atom
ΔE_f: 0.16 eV/f.u.
crystal system: orthorhombic
DOS(E_F): 1.84 states/eV per cell
space-group type: No. 44
calculated total energy: -6.646 eV/atom
total magnetic moment: 0.00 μB/f.u.